--- A ---
Compound: Nb2SbSe
Source: Alexandria via LeMat-Bulk
Functional: PBE-GGA
Structure: relaxed

- SG = Fm-3m, No. 225
- N(E_F) (states/eV per cell) = 4.08
- magnetic moment (μB/f.u.) = 0.8

Unit cell a=4.7299 b=4.7299 c=4.7299 alpha=60.00 beta=60.00 gamma=60.00
Element x y z (fractional)
Nb (0.2500, 0.2500, 0.2500)
Nb (0.7500, 0.7500, 0.7500)
Sb (0.0000, 0.0000, 0.0000)
Se (0.5000, 0.5000, 0.5000)

---

--- B ---
Compound: Nb2SbSe
Source: Alexandria via LeMat-Bulk
Functional: PBE-GGA
Structure: relaxed

- SG = I-42d, No. 122
- N(E_F) (states/eV per cell) = 10.23
- magnetic moment (μB/f.u.) = 0.0

Unit cell a=8.8769 b=8.8769 c=8.8769 alpha=148.15 beta=148.15 gamma=45.67
Element x y z (fractional)
Nb (0.0595, 0.6250, 0.9345)
Nb (0.3750, 0.3095, 0.4345)
Nb (0.6905, 0.1250, 0.0655)
Nb (0.8750, 0.9405, 0.5655)
Sb (0.2500, 0.7500, 0.5000)
Sb (0.5000, 0.5000, 0.0000)
Se (0.0000, 0.0000, 0.0000)
Se (0.7500, 0.2500, 0.5000)

---

Energy ordering: A at the bottom, the next structure 0.482 eV/atom above.

---

--- A ---
Compound: NbSb2TeSe
Source: Alexandria via LeMat-Bulk
Functional: PBE-GGA
Structure: relaxed

- SG = P4/mmm, No. 123
- N(E_F) (states/eV per cell) = 4.41
- magnetic moment (μB/f.u.) = 2.5

Unit cell a=5.3104 b=5.3104 c=5.3036 alpha=90.00 beta=90.00 gamma=90.00
Element x y z (fractional)
Nb (0.0000, 0.0000, 0.0000)
Sb (0.0000, 0.5000, 0.5000)
Sb (0.5000, 0.0000, 0.5000)
Te (0.5000, 0.5000, 0.0000)
Se (0.5000, 0.5000, 0.5000)

---

--- B ---
Compound: NbSb2TeSe
Source: Alexandria via LeMat-Bulk
Functional: PBE-GGA
Structure: relaxed

- SG = P4/mmm, No. 123
- N(E_F) (states/eV per cell) = 4.34
- magnetic moment (μB/f.u.) = 0.0

Unit cell a=5.3699 b=5.3699 c=5.2321 alpha=90.00 beta=90.00 gamma=90.00
Element x y z (fractional)
Nb (0.0000, 0.0000, 0.0000)
Sb (0.0000, 0.5000, 0.0000)
Sb (0.5000, 0.0000, 0.0000)
Te (0.0000, 0.0000, 0.5000)
Se (0.5000, 0.5000, 0.5000)

---

Energy ordering: B at the bottom, the next structure 0.645 eV/atom above.

---

--- A ---
Compound: NbSiSb3
Source: Alexandria via LeMat-Bulk
Functional: PBE-GGA
Structure: relaxed

- SG = Pm-3m, No. 221
- N(E_F) (states/eV per cell) = 6.54
- magnetic moment (μB/f.u.) = 0.0

Unit cell a=5.0831 b=5.0831 c=5.0831 alpha=90.00 beta=90.00 gamma=90.00
Element x y z (fractional)
Nb (0.0000, 0.0000, 0.0000)
Si (0.5000, 0.5000, 0.5000)
Sb (0.0000, 0.5000, 0.5000)
Sb (0.5000, 0.0000, 0.5000)
Sb (0.5000, 0.5000, 0.0000)

---

--- B ---
Compound: NbSiSb3
Source: Alexandria via LeMat-Bulk
Functional: PBE-GGA
Structure: relaxed

- SG = Pm-3m, No. 221
- N(E_F) (states/eV per cell) = 4.65
- magnetic moment (μB/f.u.) = 0.4

Unit cell a=5.3412 b=5.3412 c=5.3412 alpha=90.00 beta=90.00 gamma=90.00
Element x y z (fractional)
Nb (0.0000, 0.0000, 0.0000)
Si (0.5000, 0.5000, 0.5000)
Sb (0.0000, 0.0000, 0.5000)
Sb (0.0000, 0.5000, 0.0000)
Sb (0.5000, 0.0000, 0.0000)

---

Energy ordering: B at the bottom, the next structure 0.307 eV/atom above.